1.
This record from the Alexandria database describes a geometry-optimized AsRhAu2 structure. The functional is PBE.

The calculated total energy is -17.969 eV per formula unit. Its magnetic moment is 0.0 μB/f.u. Its formation energy from the elements is 57 kJ/mol of formula units.

The space group is I-4m2 (No. 119) and the conventional cell measures 4.102, 4.102 and 8.082 Å, with angles of 90.00, 90.00 and 90.00 degrees. Symmetry generates all atoms from As at (0.000, 0.000, 0.000), Rh at (0.000, 0.500, 0.250), Au at (0.000, 0.000, 0.500) and Au at (0.000, 0.500, 0.750).



2.
This record from the Alexandria database describes a geometry-optimized AsRhAu2 structure. The functional is PBE.

The calculated total energy is -17.474 eV per formula unit. Its magnetic moment is 0.6 μB/f.u. Its formation energy from the elements is 104 kJ/mol of formula units.

The space group is R-3m (No. 166, hexagonal axes) and the conventional cell measures 2.9800, 2.9800 and 27.0940 Å, with angles of 90.00, 90.00 and 120.00 degrees. Symmetry generates all atoms from As at (0.0000, 0.0000, 0.0000), Rh at (0.0000, 0.0000, 0.5000) and Au at (0.0000, 0.0000, 0.2493).



3.
This record from the Alexandria database describes a geometry-optimized AsRh2Au structure. The functional is PBE.

The calculated total energy is -22.641 eV per formula unit. Its magnetic moment is 0.0 μB/f.u. Its formation energy from the elements is -1 kJ/mol of formula units.

The space group is Pm (No. 6) and the conventional cell measures 3.081, 4.440 and 4.747 Å, with angles of 90.00, 93.63 and 90.00 degrees. Symmetry generates all atoms from As at (0.000, 0.000, 0.000), Rh at (0.398, 0.500, 0.989), Rh at (0.458, 0.000, 0.599) and Au at (0.929, 0.500, 0.481).